No. 1
An optimized crystal structure of YCdAgF6. Source: Alexandria, functional GGA-PBE.

Lattice parameters (Å, degrees): 5.342 5.342 10.859 90.00 90.00 90.00
Element x y z (fractional)
Ag  0.500  0.500  0.499
Ag  0.000  0.000  0.999
F  0.704  0.704  0.688
F  0.821  0.179  0.495
F  0.790  0.210  0.818
F  0.179  0.821  0.495
F  0.290  0.290  0.318
F  0.321  0.321  0.995
F  0.710  0.710  0.318
F  0.796  0.204  0.188
F  0.204  0.796  0.188
F  0.296  0.296  0.688
F  0.210  0.790  0.818
F  0.679  0.679  0.995
Y  0.000  0.000  0.332
Y  0.500  0.500  0.832
Cd  0.000  0.000  0.667
Cd  0.500  0.500  0.167

Values from the calculation:
E_form (uncorrected) (meV per atom): -2747
Fermi-level density of states (states/eV/cell): 0.000

---

No. 2
An optimized crystal structure of ZnCdAg2F6. Source: Alexandria, functional GGA-PBE.

Lattice parameters (Å, degrees): 5.798 5.961 8.325 90.00 90.32 90.00
Element x y z (fractional)
F  0.110  0.463  0.763
F  0.890  0.537  0.237
F  0.811  0.782  0.941
F  0.610  0.037  0.263
F  0.390  0.963  0.737
F  0.689  0.282  0.559
F  0.283  0.695  0.057
F  0.217  0.195  0.443
F  0.311  0.718  0.441
F  0.717  0.305  0.943
F  0.783  0.805  0.557
F  0.189  0.218  0.059
Zn  0.000  0.500  0.000
Zn  0.500  0.000  0.500
Ag  0.984  0.057  0.749
Ag  0.484  0.443  0.249
Ag  0.516  0.557  0.751
Ag  0.016  0.943  0.251
Cd  0.000  0.500  0.500
Cd  0.500  0.000  0.000

Values from the calculation:
E_form (uncorrected) (meV per atom): -1736

---

No. 3
An optimized crystal structure of ZnCd2AgF8. Source: Alexandria, functional GGA-PBE.

Lattice parameters (Å, degrees): 4.637 5.217 7.196 86.35 90.75 91.66
Element x y z (fractional)
F  0.657  0.720  0.498
F  0.862  0.244  0.789
F  0.138  0.756  0.211
F  0.158  0.810  0.756
F  0.842  0.190  0.244
F  0.343  0.280  0.502
F  0.337  0.256  0.017
F  0.663  0.744  0.983
Ag  0.000  0.000  0.500
Cd  0.521  0.509  0.240
Cd  0.479  0.491  0.760
Zn  0.000  0.000  0.000

Values from the calculation:
E_form (uncorrected) (meV per atom): -1931
Fermi-level density of states (states/eV/cell): 0.145

---

No. 4
An optimized crystal structure of ZnCdAg2F8. Source: Alexandria, functional GGA-PBE.

Lattice parameters (Å, degrees): 4.979 5.123 7.056 85.68 86.74 88.01
Element x y z (fractional)
F  0.188  0.809  0.234
F  0.809  0.188  0.229
F  0.812  0.191  0.766
F  0.721  0.725  0.015
F  0.191  0.812  0.771
F  0.279  0.275  0.985
F  0.308  0.302  0.475
F  0.692  0.698  0.525
Zn  0.000  0.000  0.000
Ag  0.491  0.492  0.760
Ag  0.509  0.508  0.240
Cd  0.000  0.000  0.500

Values from the calculation:
E_form (uncorrected) (meV per atom): -1666
Fermi-level density of states (states/eV/cell): 2.633

---

No. 5
An optimized crystal structure of Cd2FeAg. Source: Alexandria, functional GGA-PBE.

Lattice parameters (Å, degrees): 9.693 9.693 9.693 17.46 17.46 17.46
Element x y z (fractional)
Ag  0.750  0.750  0.750
Cd  0.996  0.996  0.996
Cd  0.504  0.504  0.504
Fe  0.250  0.250  0.250

Values from the calculation:
Fermi-level density of states (states/eV/cell): 2.551

---

No. 6
An optimized crystal structure of Cd2FeAg. Source: Alexandria, functional GGA-PBE.

Lattice parameters (Å, degrees): 2.963 2.963 8.253 90.00 90.00 89.96
Element x y z (fractional)
Cd  0.000  0.000  0.986
Cd  0.500  0.500  0.278
Fe  0.000  0.000  0.509
Ag  0.500  0.500  0.727

Values from the calculation:
Fermi-level density of states (states/eV/cell): 1.855

---

no.,VASP energy (eV/atom)
1,-5.131
2,-3.648
3,-3.674
4,-3.571
5,-3.086
6,-3.074